Compound: CrSnPt
Source: Alexandria via LeMat-Bulk
Functional: PBE
Structure: optimized geometry

M_tot = 0.00 μB per formula unit
Final energy = -39.218 eV/cell
Space group = Cm, No. 8

Cell: 5.484 5.484 5.369 Å, 118.35 118.35 49.61°
Fractional coordinates of all 6 atoms:
Cr 0.202 0.798 0.000
Cr 0.798 0.202 0.000
Sn 0.127 0.127 0.601
Sn 0.358 0.358 0.321
Pt 0.716 0.716 0.931
Pt 0.753 0.753 0.466